Density functional theory data (PBE) for a relaxed ZrPbBr2 crystal.

Computed properties:
Final energy = -4.34 eV/atom
Size of the total moment = 0.000 μB/cell
Formation energy without anion corrections = -0.438 eV per atom
Energy above the lowest structure with this stoichiometry = 1.34 eV per formula unit

Unit cell a=8.951 b=8.951 c=8.951 alpha=158.64 beta=149.01 gamma=37.95
Sites, in units of the cell vectors:
Pb: 0.598 0.598 0.000
Br: 0.896 0.896 0.000
Br: 0.235 0.735 0.500
Zr: 0.770 0.270 0.500

---

Density functional theory data (PBE) for a relaxed Sc3Al2Hg2 crystal.

Computed properties:
Formation enthalpy at 0 K = -0.409 eV per atom
Final energy = -4.28 eV/atom
Size of the total moment = 0.094 μB/cell

Unit cell a=4.269 b=3.237 c=10.537 alpha=90.00 beta=78.31 gamma=90.00
Sites, in units of the cell vectors:
Sc: 0.841 0.000 0.319
Sc: 0.000 0.000 0.000
Sc: 0.159 0.000 0.681
Al: 0.716 0.500 0.568
Al: 0.284 0.500 0.432
Hg: 0.578 0.500 0.844
Hg: 0.422 0.500 0.156

---

Density functional theory data (PBE) for a relaxed KNa2GeO4 crystal.

Computed properties:
Final energy = -4.84 eV/atom
Size of the total moment = 2.004 μB/cell
Formation energy without anion corrections = -1.318 eV per atom

Unit cell a=7.250 b=7.250 c=6.358 alpha=116.00 beta=116.00 gamma=105.71
Sites, in units of the cell vectors:
K: 0.000 0.500 0.000
K: 0.000 0.500 0.500
Na: 0.500 0.000 0.000
Na: 0.500 0.000 0.500
Na: 0.000 0.000 0.500
Na: 0.500 0.500 0.000
Ge: 0.500 0.500 0.500
Ge: 0.000 0.000 0.000
O: 0.206 0.880 0.043
O: 0.620 0.294 0.457
O: 0.380 0.706 0.543
O: 0.794 0.120 0.957
O: 0.765 0.735 0.961
O: 0.765 0.735 0.539
O: 0.235 0.265 0.461
O: 0.235 0.265 0.039

---

Density functional theory data (PBE) for a relaxed Ir2RhCl crystal.

Computed properties:
Final energy = -5.85 eV/atom
Size of the total moment = 0.000 μB/cell
Formation energy without anion corrections = 0.885 eV per atom
Energy above the lowest structure with this stoichiometry = 2.06 eV per formula unit

Unit cell a=4.356 b=4.356 c=4.356 alpha=116.93 beta=116.93 gamma=95.40
Sites, in units of the cell vectors:
Cl: 0.750 0.250 0.500
Ir: 0.000 0.000 0.000
Ir: 0.250 0.750 0.500
Rh: 0.500 0.500 0.000

---

Density functional theory data (PBE) for a relaxed Ac3Ga5Au6 crystal.

Computed properties:
Formation enthalpy at 0 K = -0.625 eV per atom
Final energy = -3.99 eV/atom
Size of the total moment = 0.000 μB/cell

Unit cell a=4.577 b=10.007 c=13.851 alpha=90.00 beta=90.00 gamma=90.00
Sites, in units of the cell vectors:
Ac: 0.000 0.249 0.683
Ac: 0.500 0.751 0.183
Ac: 0.500 0.751 0.817
Ac: 0.000 0.247 0.000
Ac: 0.500 0.753 0.500
Ac: 0.000 0.249 0.317
Ga: 0.000 0.541 0.885
Ga: 0.000 0.882 0.669
Ga: 0.000 0.791 0.000
Ga: 0.500 0.459 0.615
Ga: 0.500 0.209 0.500
Ga: 0.000 0.541 0.115
Ga: 0.500 0.459 0.385
Ga: 0.000 0.882 0.331
Ga: 0.500 0.118 0.831
Ga: 0.500 0.118 0.169
Au: 0.000 0.990 0.854
Au: 0.500 0.010 0.646
Au: 0.500 0.387 0.819
Au: 0.500 0.519 0.000
Au: 0.000 0.481 0.500
Au: 0.000 0.613 0.681
Au: 0.000 0.613 0.319
Au: 0.500 0.975 0.000
Au: 0.000 0.990 0.146
Au: 0.500 0.387 0.181
Au: 0.000 0.025 0.500
Au: 0.500 0.010 0.354

---

Density functional theory data (PBE) for a relaxed Cs2TlAsI6 crystal.

Computed properties:
Final energy = -2.64 eV/atom
Size of the total moment = 0.000 μB/cell
Formation energy without anion corrections = -0.835 eV per atom
Energy above the lowest structure with this stoichiometry = 0.00 eV per formula unit

Unit cell a=8.667 b=8.845 c=12.427 alpha=90.00 beta=90.06 gamma=90.00
Sites, in units of the cell vectors:
Cs: 0.015 0.947 0.249
Cs: 0.515 0.553 0.749
Cs: 0.985 0.053 0.751
Cs: 0.485 0.447 0.251
Tl: 0.500 0.000 0.000
Tl: 0.000 0.500 0.500
As: 0.500 0.000 0.500
As: 0.000 0.500 0.000
I: 0.269 0.691 0.031
I: 0.769 0.809 0.531
I: 0.731 0.309 0.969
I: 0.231 0.191 0.469
I: 0.310 0.732 0.473
I: 0.810 0.768 0.973
I: 0.690 0.268 0.527
I: 0.190 0.232 0.027
I: 0.943 0.502 0.230
I: 0.443 0.998 0.730
I: 0.057 0.498 0.770
I: 0.557 0.002 0.270

---

Density functional theory data (PBE) for a relaxed YAg2Ir crystal.

Computed properties:
Formation enthalpy at 0 K = 0.142 eV per atom
Final energy = -5.12 eV/atom
Size of the total moment = 0.000 μB/cell
Energy above the lowest structure with this stoichiometry = 1.71 eV per formula unit

Unit cell a=9.249 b=9.249 c=9.249 alpha=20.02 beta=20.02 gamma=20.02
Sites, in units of the cell vectors:
Ag: 0.004 0.004 0.004
Ag: 0.752 0.752 0.752
Ir: 0.501 0.501 0.501
Y: 0.243 0.243 0.243

---

Density functional theory data (PBE) for a relaxed CaMgCr2 crystal.

Computed properties:
Formation enthalpy at 0 K = 0.474 eV per atom
Final energy = -5.24 eV/atom
Size of the total moment = 0.266 μB/cell

Unit cell a=5.549 b=5.549 c=5.549 alpha=141.37 beta=125.70 gamma=68.61
Sites, in units of the cell vectors:
Ca: 0.231 0.731 0.500
Cr: 0.959 0.959 0.000
Cr: 0.792 0.292 0.500
Mg: 0.518 0.518 0.000

---

Density functional theory data (PBE) for a relaxed Pa4Sb3 crystal.

Computed properties:
Final energy = -7.55 eV/atom
Size of the total moment = 11.118 μB/cell
Formation energy without anion corrections = -0.357 eV per atom

Unit cell a=7.948 b=7.948 c=7.948 alpha=109.47 beta=109.47 gamma=109.47
Sites, in units of the cell vectors:
Pa: 0.346 0.500 0.000
Pa: 0.500 0.346 0.500
Pa: 0.000 0.000 0.346
Pa: 0.654 0.154 0.154
Pa: 0.000 0.000 0.846
Pa: 0.154 0.654 0.654
Pa: 0.846 0.500 0.000
Pa: 0.500 0.846 0.500
Sb: 0.125 0.375 0.250
Sb: 0.625 0.750 0.875
Sb: 0.875 0.250 0.625
Sb: 0.250 0.875 0.125
Sb: 0.750 0.625 0.375
Sb: 0.375 0.125 0.750

---

Density functional theory data (PBE) for a relaxed CaDyYMg crystal.

Computed properties:
Formation enthalpy at 0 K = 0.075 eV per atom
Final energy = -3.59 eV/atom
Size of the total moment = 0.000 μB/cell

Unit cell a=5.585 b=5.585 c=5.585 alpha=60.00 beta=60.00 gamma=60.00
Sites, in units of the cell vectors:
Y: 0.750 0.750 0.750
Ca: 0.500 0.500 0.500
Mg: 0.000 0.000 0.000
Dy: 0.250 0.250 0.250

---

Density functional theory data (PBE) for a relaxed PmSnN2 crystal.

Computed properties:
Final energy = -6.60 eV/atom
Size of the total moment = 0.692 μB/cell
Formation energy without anion corrections = -0.251 eV per atom
Energy above the lowest structure with this stoichiometry = 0.29 eV per formula unit

Unit cell a=3.365 b=3.365 c=6.276 alpha=74.45 beta=74.45 gamma=60.00
Sites, in units of the cell vectors:
Pm: 0.500 0.500 0.501
Sn: 0.669 0.669 0.994
N: 0.069 0.069 0.793
N: 0.263 0.263 0.212

---

Density functional theory data (PBE) for a relaxed CaCdS2 crystal.

Computed properties:
Final energy = -4.05 eV/atom
Size of the total moment = 0.000 μB/cell
Formation energy without anion corrections = -1.253 eV per atom

Unit cell a=6.166 b=6.166 c=7.429 alpha=65.48 beta=65.48 gamma=90.00
Sites, in units of the cell vectors:
Ca: 0.500 0.500 0.000
Ca: 0.250 0.750 0.500
S: 0.645 0.125 0.250
S: 0.105 0.625 0.250
S: 0.375 0.355 0.750
S: 0.875 0.895 0.750
Cd: 0.000 0.000 0.000
Cd: 0.750 0.250 0.500

---

Density functional theory data (PBE) for a relaxed AcEr2Al crystal.

Computed properties:
Formation enthalpy at 0 K = -0.058 eV per atom
Final energy = -4.30 eV/atom
Size of the total moment = 0.000 μB/cell
Energy above the lowest structure with this stoichiometry = 0.38 eV per formula unit

Unit cell a=4.955 b=4.910 c=4.910 alpha=90.00 beta=90.00 gamma=90.00
Sites, in units of the cell vectors:
Ac: 0.500 0.000 0.000
Al: 0.500 0.500 0.500
Er: 0.000 0.000 0.500
Er: 0.000 0.500 0.000

---

Density functional theory data (PBE) for a relaxed Ba2Tl3Pd5 crystal.

Computed properties:
Formation enthalpy at 0 K = -0.404 eV per atom
Final energy = -4.10 eV/atom
Size of the total moment = 0.000 μB/cell

Unit cell a=6.505 b=9.421 c=9.421 alpha=74.26 beta=69.80 gamma=69.80
Sites, in units of the cell vectors:
Ba: 0.126 0.609 0.138
Ba: 0.626 0.138 0.609
Ba: 0.874 0.391 0.862
Ba: 0.374 0.862 0.391
Tl: 0.357 0.545 0.741
Tl: 0.857 0.741 0.545
Tl: 0.643 0.455 0.259
Tl: 0.143 0.259 0.455
Tl: 0.250 0.000 0.000
Tl: 0.750 0.000 0.000
Pd: 0.384 0.278 0.954
Pd: 0.884 0.954 0.278
Pd: 0.616 0.722 0.046
Pd: 0.116 0.046 0.722
Pd: 0.460 0.790 0.790
Pd: 0.540 0.210 0.210
Pd: 0.750 0.500 0.500
Pd: 0.250 0.500 0.500
Pd: 0.040 0.210 0.210
Pd: 0.960 0.790 0.790

---

Density functional theory data (PBE) for a relaxed ZrRhBr2 crystal.

Computed properties:
Final energy = -4.88 eV/atom
Size of the total moment = 0.000 μB/cell
Formation energy without anion corrections = -0.070 eV per atom
Energy above the lowest structure with this stoichiometry = 2.51 eV per formula unit

Unit cell a=3.399 b=3.399 c=6.549 alpha=90.00 beta=90.00 gamma=90.00
Sites, in units of the cell vectors:
Rh: 0.500 0.500 0.250
Br: 0.000 0.000 0.993
Br: 0.000 0.000 0.507
Zr: 0.500 0.500 0.750

---

Density functional theory data (PBE) for a relaxed RbTlCd2Os crystal.

Computed properties:
Formation enthalpy at 0 K = 1.548 eV per atom
Final energy = -1.73 eV/atom
Size of the total moment = 3.073 μB/cell

Unit cell a=5.617 b=6.602 c=5.617 alpha=90.00 beta=90.00 gamma=90.00
Sites, in units of the cell vectors:
Tl: 0.000 0.000 0.000
Os: 0.500 0.500 0.500
Rb: 0.000 0.500 0.000
Cd: 0.000 0.000 0.500
Cd: 0.500 0.000 0.000

---

Density functional theory data (PBE) for a relaxed Dy5HoTh3 crystal.

Computed properties:
Formation enthalpy at 0 K = 0.555 eV per atom
Final energy = -4.98 eV/atom
Size of the total moment = 0.000 μB/cell
Energy above the lowest structure with this stoichiometry = 1.74 eV per formula unit

Unit cell a=7.508 b=7.508 c=12.264 alpha=84.69 beta=84.69 gamma=66.38
Sites, in units of the cell vectors:
Dy: 0.940 0.329 0.227
Dy: 0.328 0.672 0.000
Dy: 0.745 0.745 0.023
Dy: 0.556 0.556 0.377
Dy: 0.444 0.444 0.623
Dy: 0.255 0.255 0.977
Dy: 0.329 0.940 0.227
Dy: 0.672 0.328 0.000
Dy: 0.060 0.671 0.773
Dy: 0.671 0.060 0.773
Ho: 0.138 0.138 0.734
Ho: 0.862 0.862 0.266
Th: 0.624 0.624 0.783
Th: 0.739 0.739 0.542
Th: 0.000 0.000 0.000
Th: 0.000 0.000 0.500
Th: 0.376 0.376 0.217
Th: 0.261 0.261 0.458